No. 1
A relaxed Ti5In2Sn crystal. Source: the Alexandria database, functional GGA-PBE.

Cell and atoms, written as POSCAR:
```
Ti5In2Sn
1.0
-2.088 2.088 8.537
2.088 -2.088 8.537
2.088 2.088 -8.537
Ti In Sn
5 2 1
Direct
0.000 0.000 0.000
0.120 0.620 0.500
0.380 0.880 0.500
0.620 0.120 0.500
0.880 0.380 0.500
0.249 0.249 0.000
0.751 0.751 0.000
0.500 0.500 0.000
```

Calculated values
Density in g/cm³: 6.556
E_tot in eV per atom: -6.342
Energy above the most stable polymorph in this dataset in meV/atom: 0
SG: I4/mmm (139)

=====

No. 2
A relaxed NiW2Se crystal. Source: the Alexandria database, functional GGA-PBE.

Cell and atoms, written as POSCAR:
```
NiW2Se
1.0
-1.489 2.239 4.400
1.489 -2.239 4.400
1.489 2.239 -4.400
Ni W Se
1 2 1
Direct
0.000 0.000 0.000
0.254 0.754 0.500
0.543 0.543 0.000
0.779 0.279 0.500
```

Calculated values
Formation energy (no corrections) in meV per atom: 365
Density in g/cm³: 14.303
E_tot in eV per atom: -8.429
SG: Imm2 (44)

=====

No. 3
A relaxed LiInSb crystal. Source: the Alexandria database, functional GGA-PBE.

Cell and atoms, written as POSCAR:
```
LiInSb
1.0
6.513 0.000 0.000
0.000 3.182 0.000
0.000 0.000 6.866
Li In Sb
2 2 2
Direct
0.000 0.000 0.000
0.500 0.000 0.000
0.250 0.500 0.302
0.750 0.500 0.698
0.250 0.500 0.733
0.750 0.500 0.267
```

Calculated values
Formation energy (no corrections) in meV per atom: -242
Density in g/cm³: 5.684
E_tot in eV per atom: -3.167
Energy above the most stable polymorph in this dataset in meV/atom: 41
SG: Pmma (51)